# TeOsW2

A relaxed structure of TeOsW2 (PBE-GGA, Alexandria).

Computed properties:
Its total magnetization is 0.0 μB per formula unit. The value obtained for the uncorrected formation energy is 0.69 eV/atom. The calculated total energy is -9.380 eV/atom. As for the space-group type: P2/m. For the mass density, the calculation gives 16.62 g cm⁻³. Its density of states at the Fermi level is 0.72 states/eV per atom.

```
TeOsW2
1.0
4.167 0.000 0.000
0.000 2.969 0.040
0.000 2.029 5.563
Os Te W
1 1 2
Direct
0.500 0.250 0.250 Os
0.500 0.750 0.750 Te
0.000 0.962 0.021 W
0.000 0.538 0.479 W
```

=====

# TeOsW2

A relaxed structure of TeOsW2 (PBE-GGA, Alexandria).

Computed properties:
Its total magnetization is 0.0 μB per formula unit. The value obtained for the uncorrected formation energy is 0.64 eV/atom. The calculated total energy is -9.428 eV/atom. As for the space-group type: R3m. For the mass density, the calculation gives 16.30 g cm⁻³. Its density of states at the Fermi level is 1.30 states/eV per atom.

```
TeOsW2
1.0
8.963 -0.020 -0.012
8.458 2.966 -0.012
8.458 1.430 2.599
Os Te W
1 1 2
Direct
0.506 0.506 0.506 Os
0.749 0.749 0.749 Te
0.997 0.997 0.997 W
0.248 0.248 0.248 W
```

=====

# TeOsW2

A relaxed structure of TeOsW2 (PBE-GGA, Alexandria).

Computed properties:
Its total magnetization is 0.0 μB per formula unit. The value obtained for the uncorrected formation energy is 0.62 eV/atom. The calculated total energy is -9.449 eV/atom. As for the space-group type: R-3m. For the mass density, the calculation gives 16.61 g cm⁻³. Its density of states at the Fermi level is 0.65 states/eV per atom.

```
TeOsW2
1.0
-0.373 4.592 -7.964
-0.472 1.825 -9.006
-2.958 3.162 -8.118
Os Te W
1 1 2
Direct
0.250 0.250 0.250 Os
0.750 0.750 0.750 Te
0.995 0.995 0.995 W
0.505 0.505 0.505 W
```

=====

# TeOsW2

A relaxed structure of TeOsW2 (PBE-GGA, Alexandria).

Computed properties:
Its total magnetization is 0.0 μB per formula unit. The value obtained for the uncorrected formation energy is 0.61 eV/atom. The calculated total energy is -9.457 eV/atom. As for the space-group type: Cm. For the mass density, the calculation gives 16.81 g cm⁻³. Its density of states at the Fermi level is 0.55 states/eV per atom.

```
TeOsW2
1.0
-0.178 0.781 -4.980
0.420 -2.195 -4.522
-4.465 -1.109 -1.378
Os Te W
1 1 2
Direct
0.499 0.499 0.556 Os
0.243 0.243 0.218 Te
0.993 0.993 0.040 W
0.765 0.765 0.686 W
```

=====

# TeOsW2

A relaxed structure of TeOsW2 (PBE-GGA, Alexandria).

Computed properties:
Its total magnetization is 0.0 μB per formula unit. The value obtained for the uncorrected formation energy is 0.51 eV/atom. The calculated total energy is -9.562 eV/atom. As for the space-group type: P4mm. For the mass density, the calculation gives 16.30 g cm⁻³. Its density of states at the Fermi level is 0.47 states/eV per atom.

```
TeOsW2
1.0
3.186 0.000 0.000
0.000 3.186 0.000
0.000 0.000 6.881
Os Te W
1 1 2
Direct
0.000 0.000 0.464 Os
0.500 0.500 0.763 Te
0.000 0.000 0.017 W
0.500 0.500 0.256 W
```

=====

# TeOsW2

A relaxed structure of TeOsW2 (PBE-GGA, Alexandria).

Computed properties:
Its total magnetization is 0.0 μB per formula unit. The value obtained for the uncorrected formation energy is 1.33 eV/atom. The calculated total energy is -8.740 eV/atom. As for the space-group type: I-42d. For the mass density, the calculation gives 11.11 g cm⁻³. Its density of states at the Fermi level is 1.33 states/eV per atom.

```
TeOsW2
1.0
-2.429 -2.281 4.848
4.395 -3.893 0.370
4.068 0.713 5.943
Te Os W
2 2 4
Direct
0.500 0.500 0.000 Te
0.250 0.750 0.500 Te
0.000 0.000 0.000 Os
0.750 0.250 0.500 Os
0.662 0.125 0.250 W
0.088 0.625 0.250 W
0.375 0.338 0.750 W
0.875 0.912 0.750 W
```